This record from Alexandria via LeMat-Bulk describes crystalline SnCI3 at its relaxed geometry. The functional is PBE-GGA.

a = 5.1652 Å, b = 5.1652 Å, c = 5.1652 Å
α = 90.00°, β = 90.00°, γ = 90.00°
With the nearest neighbours (Å) after each atom.
Fractional coordinates of all 5 atoms:
Sn1 0.0000 0.0000 0.0000  12 I 3.65
C1 0.5000 0.5000 0.5000  6 I 2.58
I1 0.0000 0.5000 0.5000  2 C 2.58
I2 0.5000 0.0000 0.5000  2 C 2.58
I3 0.5000 0.5000 0.0000  2 C 2.58

* space-group type: Pm-3m (221)
* total energy: -2.65 eV per atom
* energy above the most stable polymorph in this dataset: 0 meV/atom
* E_form (uncorrected): 925 meV/atom

This record from Alexandria via LeMat-Bulk describes crystalline SnC3I at its relaxed geometry. The functional is PBE-GGA.

a = 4.2374 Å, b = 4.2374 Å, c = 4.2374 Å
α = 90.00°, β = 90.00°, γ = 90.00°
With the nearest neighbours (Å) after each atom.
Fractional coordinates of all 5 atoms:
Sn1 0.0000 0.0000 0.0000  12 C 3.00
C1 0.0000 0.5000 0.5000  2 I 2.12
C2 0.5000 0.0000 0.5000  2 I 2.12
C3 0.5000 0.5000 0.0000  2 I 2.12
I1 0.5000 0.5000 0.5000  6 C 2.12

* space-group type: Pm-3m (221)
* total energy: -3.54 eV per atom
* energy above the most stable polymorph in this dataset: 143 meV/atom
* E_form (uncorrected): 3109 meV/atom

This record from Alexandria via LeMat-Bulk describes crystalline Sn3CI at its relaxed geometry. The functional is PBE-GGA.

a = 5.9170 Å, b = 5.9170 Å, c = 5.9170 Å
α = 90.00°, β = 90.00°, γ = 90.00°
With the nearest neighbours (Å) after each atom.
Fractional coordinates of all 5 atoms:
Sn1 0.0000 0.0000 0.5000  2 I 2.96
Sn2 0.0000 0.5000 0.0000  2 I 2.96
Sn3 0.5000 0.0000 0.0000  2 I 2.96
C1 0.5000 0.5000 0.5000  12 Sn 4.18
I1 0.0000 0.0000 0.0000  6 Sn 2.96

* space-group type: Pm-3m (221)
* total energy: -2.40 eV per atom
* energy above the most stable polymorph in this dataset: 1270 meV/atom
* E_form (uncorrected): 2154 meV/atom